! Ac2Mg3In2 GGA-PBE optimized geometry; values from VASP
&SYSTEM
  ibrav = 0, nat = 7, ntyp = 3
/
ATOMIC_SPECIES
Ac 227.00 Ac.upf
Mg 24.30 Mg.upf
In 114.82 In.upf
CELL_PARAMETERS angstrom
5.9536 -2.4802 0.0000
5.9536 2.4802 0.0000
-1.8300 0.0000 7.2199
ATOMIC_POSITIONS crystal
Ac 0.1152 0.1152 0.3577
Ac 0.8848 0.8848 0.6423
Mg 0.2066 0.2066 0.8808
Mg 0.5000 0.5000 0.0000
Mg 0.7934 0.7934 0.1192
In 0.3940 0.3940 0.3085
In 0.6060 0.6060 0.6915
! distance to the lowest polymorph of the same formula	49	meV per atom
! M_tot	0.0	μB per formula unit